# 1
Computed, not measured: crystalline Th4PdRuS2 at its relaxed geometry at the PBE-GGA level of DFT.

## Properties
ΔE_f (raw): -1.14 eV/atom
Fermi-level density of states: 7.877 states/eV/f.u.
Calculated volume: 203.2 Å³/cell

a = 4.0717 Å, b = 7.4704 Å, c = 7.0254 Å
α = 71.98°, β = 90.00°, γ = 90.00°
Closest atoms and distances in Å follow each position.
Element x y z (fractional)
Th (0.0000, 0.7353, 0.7636)  2 Ru 2.86, 1 Pd 2.92, 3 S 2.95-3.04
Th (0.0000, 0.2647, 0.2364)  2 Ru 2.86, 1 Pd 2.92, 3 S 2.95-3.04
Th (0.5000, 0.7426, 0.2397)  1 Ru 2.83, 3 S 2.95-3.04, 2 Pd 2.95
Th (0.5000, 0.2574, 0.7603)  1 Ru 2.83, 3 S 2.95-3.04, 2 Pd 2.95
Pd (0.0000, 0.5000, 0.5000)  6 Th 2.92-2.95
Ru (0.5000, 0.5000, 0.0000)  6 Th 2.83-2.86
S (0.0000, 0.0000, 0.0000)  6 Th 2.95
S (0.5000, 0.0000, 0.5000)  6 Th 3.04

# 2
Computed, not measured: crystalline Ba4Sn2H at its relaxed geometry at the PBE-GGA level of DFT.

## Properties
Fermi-level density of states: 4.278 states/eV/f.u.
E above lowest polymorph: 0.000 eV/atom
Calculated volume: 273.4 Å³/cell

a = 5.3961 Å, b = 5.3961 Å, c = 10.1362 Å
α = 74.56°, β = 74.56°, γ = 90.00°
Closest atoms and distances in Å follow each position.
Element x y z (fractional)
H (0.0000, 0.0000, 0.0000)  4 Ba 2.70
Ba (0.8179, 0.8179, 0.3642)  1 H 3.42, 1 Sn 3.53
Ba (0.1821, 0.1821, 0.6358)  1 H 3.42, 1 Sn 3.53
Ba (0.0000, 0.5000, 0.0000)  2 H 2.70
Ba (0.5000, 0.0000, 0.0000)  2 H 2.70
Sn (0.6302, 0.6302, 0.7396)  9 Ba 3.53-3.94
Sn (0.3698, 0.3698, 0.2604)  9 Ba 3.53-3.94

# 3
Computed, not measured: crystalline Sr2Zn4SiGe3 at its relaxed geometry at the PBE-GGA level of DFT.

## Properties
ΔE_f (raw): -0.34 eV/atom
Fermi-level density of states: 1.463 states/eV/f.u.
Calculated volume: 204.8 Å³/cell

a = 4.3602 Å, b = 4.3602 Å, c = 10.7724 Å
α = 90.00°, β = 90.00°, γ = 90.00°
Closest atoms and distances in Å follow each position.
Element x y z (fractional)
Sr (0.5000, 0.0000, 0.2513)  6 Ge 3.33-3.45, 8 Zn 3.34-3.48, 2 Si 3.45
Sr (0.0000, 0.5000, 0.7487)  6 Ge 3.33-3.45, 8 Zn 3.34-3.48, 2 Si 3.45
Zn (0.5000, 0.5000, 0.0000)  4 Ge 2.62
Zn (0.0000, 0.0000, 0.0000)  4 Ge 2.62
Zn (0.5000, 0.0000, 0.6303)  3 Ge 2.53-2.59, 2 Si 2.59
Zn (0.0000, 0.5000, 0.3697)  3 Ge 2.53-2.59, 2 Si 2.59
Si (0.5000, 0.5000, 0.5000)  4 Zn 2.59
Ge (0.0000, 0.0000, 0.5000)  4 Zn 2.59
Ge (0.5000, 0.0000, 0.8650)  5 Zn 2.53-2.62
Ge (0.0000, 0.5000, 0.1350)  5 Zn 2.53-2.62

> What is the Fermi-level density of states in the third record?

1.463 states/eV/f.u.

> Among the records above, which one has the lowest Fermi-level density of states?

Sr2Zn4SiGe3

> What is the calculated volume in the third record?

204.8 Å³/cell

> Among the records above, which one has the lowest calculated volume?

Th4PdRuS2